First-principles (PBE) data for a relaxed Tl2CuPbC crystal, as listed in Alexandria via LeMat-Bulk.

Its volume is 23.1 Å³ per atom. The value obtained for the density is 9.93 g/cm3. The calculation puts the formation energy at 748 meV per atom. The spin magnetization is 0.000 Bohr magnetons per cell.

The structure belongs to space group P4/mmm (No. 123); the cell edges are 5.6037, 5.6037 and 3.6811 Å and the angles 90.00°, 90.00° and 90.00°. The asymmetric unit holds Tl at (0.0000, 0.5000, 0.0000), Cu at (0.0000, 0.0000, 0.5000), Pb at (0.5000, 0.5000, 0.5000) and C at (0.0000, 0.0000, 0.0000).

First-principles (PBE) data for a relaxed ZrCuPb2C crystal, as listed in Alexandria via LeMat-Bulk.

Its volume is 20.9 Å³ per atom. The value obtained for the density is 9.23 g/cm3. The calculation puts the formation energy at 742 meV per atom. The spin magnetization is 0.000 Bohr magnetons per cell.

The structure belongs to space group P4/mmm (No. 123); the cell edges are 5.3897, 5.3897 and 3.5975 Å and the angles 90.00°, 90.00° and 90.00°. The asymmetric unit holds Zr at (0.0000, 0.0000, 0.0000), Cu at (0.5000, 0.5000, 0.0000), Pb at (0.0000, 0.5000, 0.5000) and C at (0.5000, 0.5000, 0.5000).

First-principles (PBE) data for a relaxed Cu3PdC crystal, as listed in Alexandria via LeMat-Bulk.

Its volume is 11.7 Å³ per atom. The value obtained for the density is 8.76 g/cm3. Its offset from the most stable computed form is 0.0000 eV/atom. The calculation puts the formation energy at 279 meV per atom. The spin magnetization is 0.000 Bohr magnetons per cell.

The structure belongs to space group Pm-3m (No. 221); the cell edges are 3.8839, 3.8839 and 3.8839 Å and the angles 90.00°, 90.00° and 90.00°. The asymmetric unit holds Cu at (0.0000, 0.0000, 0.5000), Pd at (0.5000, 0.5000, 0.5000) and C at (0.0000, 0.0000, 0.0000).

First-principles (PBE) data for a relaxed CuPdC3 crystal, as listed in Alexandria via LeMat-Bulk.

Its volume is 13.0 Å³ per atom. The value obtained for the density is 5.26 g/cm3. Its offset from the most stable computed form is 0.2200 eV/atom. The calculation puts the formation energy at 2841 meV per atom. The spin magnetization is 0.000 Bohr magnetons per cell.

The structure belongs to space group Pm-3m (No. 221); the cell edges are 4.0208, 4.0208 and 4.0208 Å and the angles 90.00°, 90.00° and 90.00°. The asymmetric unit holds Cu at (0.0000, 0.0000, 0.0000), Pd at (0.5000, 0.5000, 0.5000) and C at (0.0000, 0.5000, 0.5000).